Entry from the Alexandria database: a crystal of NaMg2P relaxed with PBEsol (meta-GGA SCAN).

Properties
Calculated formation energy, eV/atom: -0.172
Electronic total energy, eV/atom: -6.313
N(E_F), states/eV per atom: 0.235

abc: 8.5135 8.5135 5.6050
angles: 90.00 90.00 90.00
Space group I-42d (No. 122)
One atom of each set of equivalent atoms:
Na  0.0000  0.0000  0.0000 [4 per cell]
Mg  0.1462  0.7500  0.6250 [8 per cell]
P  0.0000  0.0000  0.5000 [4 per cell]



Entry from the Alexandria database: a crystal of Na2MgPb2 relaxed with PBEsol (meta-GGA SCAN).

Properties
Calculated formation energy, eV/atom: -0.057
Electronic total energy, eV/atom: -33.050
N(E_F), states/eV per atom: 0.338

abc: 4.3563 4.3563 14.9664
angles: 90.00 90.00 90.00
Space group I4/mmm (No. 139)
One atom of each set of equivalent atoms:
Na  0.0000  0.5000  0.2500 [4 per cell]
Mg  0.0000  0.0000  0.0000 [2 per cell]
Pb  0.0000  0.0000  0.4038 [4 per cell]